No. 1
# CaCdCo | Alexandria | GGA-PBE | relaxed
# DFT formation energy, kJ/mol of atoms: 30.5
# DFT total energy, eV/cell: -36.29
data_CaCdCo
_chemical_formula_sum 'Ca4 Cd4 Co4'
_cell_length_a 6.522
_cell_length_b 6.522
_cell_length_c 6.522
_cell_angle_alpha 90.00
_cell_angle_beta 90.00
_cell_angle_gamma 90.00
_space_group_name_H-M_alt 'F -4 3 m'
_space_group_IT_number 216
_space_group_name_Hall 'F -4 2 3'
loop_
_atom_site_label
_atom_site_type_symbol
_atom_site_fract_x
_atom_site_fract_y
_atom_site_fract_z
Ca1 Ca 0.000 0.000 0.000
Cd1 Cd 0.000 0.000 0.500
Co1 Co 0.250 0.250 0.750

***

No. 2
# UPaIr | Alexandria | GGA-PBE | relaxed
# Relative energy among the computed polymorphs, kJ/mol of atoms: 10.43
# DFT formation energy, kJ/mol of atoms: -31.5
# DFT total energy, eV/cell: -61.25
data_UPaIr
_chemical_formula_sum 'U2 Pa2 Ir2'
_cell_length_a 3.645
_cell_length_b 3.645
_cell_length_c 9.316
_cell_angle_alpha 90.00
_cell_angle_beta 90.00
_cell_angle_gamma 90.00
_space_group_name_H-M_alt 'I 4 m m'
_space_group_IT_number 107
_space_group_name_Hall 'I 4 -2'
loop_
_atom_site_label
_atom_site_type_symbol
_atom_site_fract_x
_atom_site_fract_y
_atom_site_fract_z
U1 U 0.000 0.000 0.000
Pa1 Pa 0.000 0.000 0.323
Ir1 Ir 0.000 0.000 0.662

***

No. 3
# TlZnIn2 | Alexandria | GGA-PBE | relaxed
# DFT formation energy, kJ/mol of atoms: 12.2
# DFT total energy, eV/cell: -8.61
data_TlZnIn2
_chemical_formula_sum 'Tl1 Zn1 In2'
_cell_length_a 3.940
_cell_length_b 4.705
_cell_length_c 5.664
_cell_angle_alpha 90.00
_cell_angle_beta 90.00
_cell_angle_gamma 90.00
_space_group_name_H-M_alt 'P m m m'
_space_group_IT_number 47
_space_group_name_Hall '-P 2 2'
loop_
_atom_site_label
_atom_site_type_symbol
_atom_site_fract_x
_atom_site_fract_y
_atom_site_fract_z
Tl1 Tl 0.000 0.000 0.000
Zn1 Zn 0.500 0.500 0.000
In1 In 0.000 0.500 0.500
In2 In 0.500 0.000 0.500

***

No. 4
# Ba2ErSb4Pd3 | Alexandria | GGA-PBE | relaxed
# DFT total energy, eV/cell: -49.12
# Uncorrected formation energy, eV/atom: -0.86
data_Ba2ErSb4Pd3
_chemical_formula_sum 'Ba2 Er1 Sb4 Pd3'
_cell_length_a 4.749
_cell_length_b 4.749
_cell_length_c 11.936
_cell_angle_alpha 90.00
_cell_angle_beta 90.00
_cell_angle_gamma 90.00
_space_group_name_H-M_alt 'P -4 m 2'
_space_group_IT_number 115
_space_group_name_Hall 'P -4 -2'
loop_
_atom_site_label
_atom_site_type_symbol
_atom_site_fract_x
_atom_site_fract_y
_atom_site_fract_z
Ba1 Ba 0.000 0.500 0.236
Er1 Er 0.000 0.000 0.500
Sb1 Sb 0.000 0.000 0.000
Sb2 Sb 0.000 0.500 0.649
Sb3 Sb 0.500 0.500 0.000
Pd1 Pd 0.000 0.500 0.883
Pd2 Pd 0.500 0.500 0.500

***

No. 5
# Sc6O | Alexandria | GGA-PBE | relaxed
# DFT total energy, eV/cell: -194.97
# Uncorrected formation energy, eV/atom: -0.83
data_Sc6O
_chemical_formula_sum 'Sc24 O4'
_cell_length_a 10.523
_cell_length_b 9.783
_cell_length_c 5.700
_cell_angle_alpha 90.00
_cell_angle_beta 90.00
_cell_angle_gamma 90.00
_space_group_name_H-M_alt 'P n m a'
_space_group_IT_number 62
_space_group_name_Hall '-P 2ac 2n'
loop_
_atom_site_label
_atom_site_type_symbol
_atom_site_fract_x
_atom_site_fract_y
_atom_site_fract_z
Sc1 Sc 0.001 0.089 0.242
Sc2 Sc 0.005 0.250 0.727
Sc3 Sc 0.238 0.750 0.918
Sc4 Sc 0.242 0.587 0.427
O1 O 0.120 0.750 0.591

***

No. 6
# Ac8NdPt5 | Alexandria | GGA-PBE | relaxed
# DFT formation energy, kJ/mol of atoms: -77.3
# DFT total energy, eV/cell: -158.10
data_Ac8NdPt5
_chemical_formula_sum 'Ac16 Nd2 Pt10'
_cell_length_a 22.470
_cell_length_b 4.407
_cell_length_c 10.745
_cell_angle_alpha 90.00
_cell_angle_beta 103.14
_cell_angle_gamma 90.00
_space_group_name_H-M_alt 'C 1 2/m 1'
_space_group_IT_number 12
_space_group_name_Hall '-C 2y'
loop_
_atom_site_label
_atom_site_type_symbol
_atom_site_fract_x
_atom_site_fract_y
_atom_site_fract_z
Ac1 Ac 0.072 0.000 0.162
Ac2 Ac 0.088 0.500 0.821
Ac3 Ac 0.169 0.500 0.496
Ac4 Ac 0.234 0.500 0.154
Nd1 Nd 0.000 0.000 0.500
Pt1 Pt 0.000 0.500 0.000
Pt2 Pt 0.161 0.000 0.982
Pt3 Pt 0.203 0.000 0.332

***

> Among the records above, which one has the lowest DFT total energy?

Sc6O